No. 1
The following is a GGA-PBE calculation of an optimized crystal structure of Ni2AgBIr, from Alexandria via LeMat-Bulk.

Geometry as POSCAR:
```
Ni2AgBIr
1.0
3.950 0.000 0.000
0.000 4.063 0.000
0.000 0.000 3.950
Ir Ni B Ag
1 2 1 1
Direct
0.000 0.500 0.000 Ir
0.000 0.000 0.500 Ni
0.500 0.000 0.000 Ni
0.000 0.000 0.000 B
0.500 0.500 0.500 Ag
```

Properties
**Calculated formation energy**: 101 meV per atom
**Symmetry**: No. 123

No. 2
The following is a GGA-PBE calculation of an optimized crystal structure of AgB2IrO, from Alexandria via LeMat-Bulk.

Geometry as POSCAR:
```
AgB2IrO
1.0
-3.670 1.181 0.521
-1.729 -4.934 -0.987
0.264 -0.850 3.787
Ag Ir O B
1 1 1 2
Direct
0.000 0.000 0.000 Ag
0.000 0.500 0.000 Ir
0.500 0.500 0.500 O
0.500 0.000 0.000 B
0.000 0.000 0.500 B
```

Properties
**Formation energy (no corrections)**: 2.288 eV/atom
**Symmetry**: No. 123

Number 1: DOS at the Fermi energy 1.36 states/eV/atom. Number 2: DOS at the Fermi energy 1.26 states/eV/atom.